DFT (PBE) results for a relaxed ZnTc2Mo crystal.

Structure (POSCAR):
```
ZnTc2Mo
1.0
4.3399 0.0000 0.0000
0.0000 2.6649 -0.0033
0.0000 0.9403 5.1418
Mo Tc Zn
1 2 1
Direct
0.5000 0.7500 0.7500
0.0000 0.9560 0.0073
0.0000 0.5440 0.4927
0.5000 0.2500 0.2500
```

Calculated values
formation energy from the elements: 122 meV per atom
crystal system: monoclinic
total magnetization: 0.00 μB/f.u.
space group: P2/m